i:
The following is a DFT calculation (GGA-PBE) of a geometry-optimized Sm3Te2S2 structure.

Geometry as POSCAR:
```
Sm3Te2S2
1.0
6.794 -2.061 0.000
6.794 2.061 0.000
-1.078 0.000 7.478
Sm Te S
3 2 2
direct
0.000 0.000 0.000 Sm
0.240 0.240 0.761 Sm
0.760 0.760 0.239 Sm
0.116 0.116 0.380 Te
0.884 0.884 0.620 Te
0.370 0.370 0.095 S
0.630 0.630 0.905 S
```

The magnetization comes out at 0.000 μB per atom.

ii:
The following is a DFT calculation (GGA-PBE) of a geometry-optimized Sm3Te2S2 structure.

Geometry as POSCAR:
```
Sm3Te2S2
1.0
8.428 -2.040 0.000
8.428 2.040 0.000
-0.438 0.000 6.370
Sm Te S
3 2 2
direct
0.000 0.000 0.000 Sm
0.180 0.180 0.734 Sm
0.820 0.820 0.266 Sm
0.176 0.176 0.241 Te
0.824 0.824 0.759 Te
0.429 0.429 0.228 S
0.571 0.571 0.772 S
```

The magnetization comes out at 0.000 μB per atom.

The relative energies come out as i 0.000; ii 0.081, with values in eV/atom.

i:
The following is a DFT calculation (GGA-PBE) of a geometry-optimized SmThS2 structure.

Geometry as POSCAR:
```
SmThS2
1.0
1.939 1.119 7.204
-1.939 1.119 7.204
0.000 -2.239 7.204
Sm Th S
1 1 2
direct
0.000 0.000 0.000 Sm
0.825 0.825 0.825 Th
0.246 0.246 0.246 S
0.410 0.410 0.410 S
```

The magnetization comes out at 0.000 μB per atom.

ii:
The following is a DFT calculation (GGA-PBE) of a geometry-optimized SmThS2 structure.

Geometry as POSCAR:
```
SmThS2
1.0
3.938 0.000 0.000
-1.969 3.411 0.000
0.000 0.000 13.824
Sm Th S
2 2 4
direct
0.000 0.000 0.000 Sm
0.000 0.000 0.500 Sm
0.333 0.667 0.250 Th
0.667 0.333 0.750 Th
0.333 0.667 0.621 S
0.333 0.667 0.879 S
0.667 0.333 0.121 S
0.667 0.333 0.379 S
```

The magnetization comes out at 0.000 μB per atom.

The relative energies come out as i 0.070; ii 0.000, with values in eV/atom.

i:
The following is a DFT calculation (GGA-PBE) of a geometry-optimized Sm3TmS4 structure.

Geometry as POSCAR:
```
Sm3TmS4
1.0
3.950 0.000 0.000
0.000 5.607 0.000
0.000 0.000 7.987
Sm Tm S
3 1 4
direct
0.000 0.000 0.000 Sm
0.500 0.500 0.248 Sm
0.500 0.500 0.752 Sm
0.000 0.000 0.500 Tm
0.000 0.500 0.000 S
0.000 0.500 0.500 S
0.500 0.000 0.262 S
0.500 0.000 0.738 S
```

The magnetization comes out at 0.000 μB per atom.

ii:
The following is a DFT calculation (GGA-PBE) of a geometry-optimized Sm3TmS4 structure.

Geometry as POSCAR:
```
Sm3TmS4
1.0
5.617 0.000 0.000
0.000 5.617 0.000
0.000 0.000 5.617
Sm Tm S
3 1 4
direct
0.000 0.000 0.500 Sm
0.000 0.500 0.000 Sm
0.500 0.000 0.000 Sm
0.500 0.500 0.500 Tm
0.000 0.000 0.000 S
0.000 0.500 0.500 S
0.500 0.000 0.500 S
0.500 0.500 0.000 S
```

The magnetization comes out at 0.000 μB per atom.

The relative energies come out as i 0.000; ii 0.018, with values in eV/atom.

i:
The following is a DFT calculation (GGA-PBE) of a geometry-optimized SmTmS3 structure.

Geometry as POSCAR:
```
SmTmS3
1.0
7.760 0.000 0.000
0.000 3.909 0.000
-0.657 0.000 7.772
Sm Tm S
2 2 6
direct
0.122 0.250 0.271 Sm
0.878 0.750 0.729 Sm
0.352 0.750 0.824 Tm
0.648 0.250 0.176 Tm
0.125 0.250 0.887 S
0.183 0.750 0.523 S
0.403 0.750 0.179 S
0.597 0.250 0.821 S
0.817 0.250 0.477 S
0.875 0.750 0.113 S
```

The magnetization comes out at 0.000 μB per atom.

ii:
The following is a DFT calculation (GGA-PBE) of a geometry-optimized SmTmS3 structure.

Geometry as POSCAR:
```
SmTmS3
1.0
7.331 0.000 0.000
0.000 3.931 0.000
0.000 0.000 15.230
Sm Tm S
4 4 12
direct
0.143 0.250 0.201 Sm
0.357 0.750 0.701 Sm
0.643 0.250 0.299 Sm
0.857 0.750 0.799 Sm
0.230 0.750 0.457 Tm
0.270 0.250 0.957 Tm
0.730 0.750 0.043 Tm
0.770 0.250 0.543 Tm
0.012 0.250 0.395 S
0.124 0.750 0.062 S
0.150 0.250 0.785 S
0.350 0.750 0.285 S
0.376 0.250 0.562 S
0.488 0.750 0.895 S
0.512 0.250 0.105 S
0.624 0.750 0.438 S
0.650 0.250 0.715 S
0.850 0.750 0.215 S
0.876 0.250 0.938 S
0.988 0.750 0.605 S
```

The magnetization comes out at 0.000 μB per atom.

The relative energies come out as i 0.017; ii 0.000, with values in eV/atom.

i:
The following is a DFT calculation (GGA-PBE) of a geometry-optimized Sm3TmS6 structure.

Geometry as POSCAR:
```
Sm3TmS6
1.0
5.822 3.361 4.586
-5.822 3.361 4.586
0.000 -6.723 4.586
Sm Tm S
6 2 12
direct
0.068 0.577 0.749 Sm
0.251 0.932 0.423 Sm
0.423 0.251 0.932 Sm
0.576 0.749 0.068 Sm
0.749 0.068 0.576 Sm
0.932 0.424 0.251 Sm
0.000 0.000 0.000 Tm
0.500 0.500 0.500 Tm
0.039 0.909 0.687 S
0.091 0.313 0.961 S
0.190 0.587 0.421 S
0.313 0.961 0.091 S
0.413 0.579 0.810 S
0.421 0.190 0.587 S
0.579 0.810 0.413 S
0.587 0.421 0.190 S
0.687 0.039 0.909 S
0.810 0.413 0.579 S
0.909 0.687 0.039 S
0.961 0.091 0.313 S
```

The magnetization comes out at 0.000 μB per atom.

ii:
The following is a DFT calculation (GGA-PBE) of a geometry-optimized Sm3TmS6 structure.

Geometry as POSCAR:
```
Sm3TmS6
1.0
11.159 0.000 0.000
0.000 4.010 0.000
-3.589 0.000 10.896
Sm Tm S
6 2 12
direct
0.076 0.250 0.170 Sm
0.183 0.750 0.506 Sm
0.339 0.250 0.918 Sm
0.661 0.750 0.082 Sm
0.817 0.250 0.494 Sm
0.924 0.750 0.830 Sm
0.460 0.250 0.316 Tm
0.540 0.750 0.684 Tm
0.023 0.250 0.386 S
0.096 0.250 0.931 S
0.255 0.750 0.282 S
0.317 0.750 0.750 S
0.395 0.250 0.539 S
0.417 0.750 0.101 S
0.583 0.250 0.899 S
0.605 0.750 0.461 S
0.683 0.250 0.250 S
0.745 0.250 0.718 S
0.904 0.750 0.069 S
0.977 0.750 0.614 S
```

The magnetization comes out at 0.000 μB per atom.

The relative energies come out as i 0.000; ii 0.048, with values in eV/atom.

i:
The following is a DFT calculation (GGA-PBE) of a geometry-optimized SmTm3S4 structure.

Geometry as POSCAR:
```
SmTm3S4
1.0
5.498 0.000 0.000
0.000 5.498 0.000
0.000 0.000 5.498
Sm Tm S
1 3 4
direct
0.000 0.000 0.000 Sm
0.000 0.500 0.500 Tm
0.500 0.000 0.500 Tm
0.500 0.500 0.000 Tm
0.000 0.000 0.500 S
0.000 0.500 0.000 S
0.500 0.000 0.000 S
0.500 0.500 0.500 S
```

The magnetization comes out at 0.000 μB per atom.

ii:
The following is a DFT calculation (GGA-PBE) of a geometry-optimized SmTm3S4 structure.

Geometry as POSCAR:
```
SmTm3S4
1.0
3.928 -5.497 0.000
3.928 5.497 0.000
0.000 0.000 3.840
Sm Tm S
1 3 4
direct
0.000 0.000 0.000 Sm
0.000 0.500 0.500 Tm
0.500 0.000 0.500 Tm
0.500 0.500 0.000 Tm
0.255 0.745 0.000 S
0.261 0.261 0.500 S
0.739 0.739 0.500 S
0.745 0.255 0.000 S
```

The magnetization comes out at 0.000 μB per atom.

The relative energies come out as i 0.025; ii 0.000, with values in eV/atom.